{"formula": "PmV2FeO8", "functional": "PBE with a Hubbard U", "state": "relaxed", "e_tot_ev_per_atom": -7.485, "space_group": "I-4m2 (119)", "lattice": [[-3.465, -1.748, -4.463], [-1.626, -1.847, 5.378], [-0.256, 5.908, 0.107]], "species": ["Fe", "V", "V", "O", "O", "O", "O", "O", "O", "O", "O", "Pm"], "fractional_positions": [[0.000, 0.000, 0.000], [0.500, 0.500, 0.000], [0.750, 0.250, 0.500], [0.919, 0.223, 0.303], [0.506, 0.686, 0.820], [0.314, 0.134, 0.820], [0.384, 0.081, 0.303], [0.919, 0.616, 0.697], [0.777, 0.081, 0.697], [0.866, 0.686, 0.180], [0.314, 0.494, 0.180], [0.250, 0.750, 0.500]]}